Sr3ZnFe | PBE | relaxed

Structure (CIF):
```
data_Sr3ZnFe
_cell_length_a 5.982
_cell_length_b 5.982
_cell_length_c 5.982
_cell_angle_alpha 90.00
_cell_angle_beta 90.00
_cell_angle_gamma 90.00
_symmetry_space_group_name_H-M 'P m -3 m'
_symmetry_Int_Tables_number 221
_symmetry_space_group_name_Hall '-P 4 2 3'
loop_
_atom_site_label
_atom_site_type_symbol
_atom_site_fract_x
_atom_site_fract_y
_atom_site_fract_z
Sr1 Sr 0.000 0.000 0.500
Zn1 Zn 0.000 0.000 0.000
Fe1 Fe 0.500 0.500 0.500
```

Values from the calculation:
- calculated volume (Å³ per atom) = 42.81
- mass density (kg/m3) = 2980
- ΔE_f (meV per atom) = 640
- calculated total energy (eV per atom) = -2.32
- total magnetization (μB/cell) = 3.0